Material: AcGaPd3
Method: DFT, PBE
State: optimized geometry

Calculated values
energy of formation = -0.764 eV/atom
energy relative to the lowest polymorph listed for this composition = 0.0 meV/atom
DFT total energy = -5.31 eV per atom
space-group type = P4/nmm (129)
calculated density = 9.9 Mg/m³

a b c (Å): 6.126 6.126 5.490
angles (deg): 90.00 90.00 90.00
Positions (direct):
Ac1 0.250 0.750 0.000
Ac2 0.750 0.250 0.000
Ga1 0.250 0.250 0.267
Ga2 0.750 0.750 0.733
Pd1 0.000 0.000 0.500
Pd2 0.000 0.500 0.500
Pd3 0.250 0.250 0.821
Pd4 0.500 0.000 0.500
Pd5 0.500 0.500 0.500
Pd6 0.750 0.750 0.179

Material: Ba2SrCa
Method: DFT, PBE
State: optimized geometry

Calculated values
energy of formation = 0.366 eV/atom
energy relative to the lowest polymorph listed for this composition = 347.1 meV/atom
DFT total energy = -1.52 eV per atom
space-group type = P-3m1 (164)
calculated density = 2.5 Mg/m³

a b c (Å): 6.300 6.300 7.777
angles (deg): 90.00 90.00 120.00
Positions (direct):
Ba1 0.333 0.667 0.280
Ba2 0.667 0.333 0.720
Sr1 0.000 0.000 0.000
Ca1 0.000 0.000 0.500

Material: YSNF2
Method: DFT, PBE
State: optimized geometry

Calculated values
energy relative to the lowest polymorph listed for this composition = 0.0 meV/atom
DFT total energy = -5.76 eV per atom
space-group type = P4/mmm (123)
calculated density = 3.1 Mg/m³
ΔE_f (raw) = -595 kJ/mol of formula units

a b c (Å): 4.261 4.261 5.045
angles (deg): 90.00 90.00 90.00
Positions (direct):
Y1 0.000 0.000 0.000
S1 0.500 0.500 0.500
N1 0.000 0.000 0.500
F1 0.000 0.500 0.000
F2 0.500 0.000 0.000

Material: InTeC2
Method: DFT, PBE
State: optimized geometry

Calculated values
energy relative to the lowest polymorph listed for this composition = 844.1 meV/atom
DFT total energy = -3.78 eV per atom
space-group type = Fm-3m (225)
calculated density = 7.3 Mg/m³
ΔE_f (raw) = 887 kJ/mol of formula units

a b c (Å): 6.232 6.232 6.232
angles (deg): 90.00 90.00 90.00
Positions (direct):
In1 0.000 0.000 0.000
In2 0.000 0.500 0.500
In3 0.500 0.000 0.500
In4 0.500 0.500 0.000
Te1 0.000 0.000 0.500
Te2 0.000 0.500 0.000
Te3 0.500 0.000 0.000
Te4 0.500 0.500 0.500
C1 0.250 0.250 0.250
C2 0.250 0.250 0.750
C3 0.250 0.750 0.250
C4 0.250 0.750 0.750
C5 0.750 0.250 0.250
C6 0.750 0.250 0.750
C7 0.750 0.750 0.250
C8 0.750 0.750 0.750